Compound: Nd2NbInO6
Source: the Open Quantum Materials Database
Functional: GGA-PBE
Structure: optimized geometry

It has space group Fm-3m (No. 225), with a = 8.1999 Å, b = 8.1999 Å, c = 8.1999 Å, α = 90.00°, β = 90.00° and γ = 90.00°. The distinct sites, in fractional coordinates, are Nd at (0.2500, 0.2500, 0.2500), Nb at (0.0000, 0.0000, 0.0000), In at (0.0000, 0.0000, 0.5000) and O at (0.0000, 0.0000, 0.2459).

The crystal system is cubic. Its energy above the lowest structure with this stoichiometry is 0.160 eV/atom.

=====

Compound: AlB4Mo3
Source: the Open Quantum Materials Database
Functional: GGA-PBE
Structure: optimized geometry

It has space group Pmmm (No. 47), with a = 3.0899 Å, b = 3.1673 Å, c = 8.3934 Å, α = 90.00°, β = 90.00° and γ = 90.00°. The distinct sites, in fractional coordinates, are Al at (0.0000, 0.0000, 0.0000), B at (0.0000, 0.0000, 0.2778), B at (0.5000, 0.0000, 0.3918), Mo at (0.0000, 0.5000, 0.5000) and Mo at (0.5000, 0.5000, 0.1968).

The crystal system is orthorhombic.

=====

Which total moment belongs to each record? In order, 1.54 0.01 μB/f.u..
Which DFT total energy belongs to each record? In order, -7.43 -8.30 eV/atom.